1.
A relaxed structure of HOs, computed with PBE.

a = 2.923 Å, b = 2.923 Å, c = 2.923 Å
α = 60.00°, β = 60.00°, γ = 60.00°
Fractional positions:
H1 0.000 0.000 0.000
Os1 0.250 0.250 0.250

Output
The total energy comes out at -13.41 eV/cell. For the energy above the most stable polymorph in this dataset, the calculation gives 0.25 eV/f.u.

***

2.
A relaxed structure of H2Os, computed with PBE.

a = 4.005 Å, b = 4.005 Å, c = 4.005 Å
α = 60.00°, β = 60.00°, γ = 60.00°
Fractional positions:
H1 0.625 0.625 0.125
H2 0.625 0.125 0.625
H3 0.125 0.625 0.625
H4 0.625 0.625 0.625
Os1 0.000 0.000 0.000
Os2 0.250 0.250 0.250

Output
The total energy comes out at -30.16 eV/cell.

***

3.
A relaxed structure of HOs5, computed with PBE.

a = 4.949 Å, b = 4.949 Å, c = 4.583 Å
α = 90.00°, β = 90.00°, γ = 120.00°
Fractional positions:
H1 0.000 0.000 0.000
Os1 0.667 0.333 0.000
Os2 0.333 0.667 0.000
Os3 0.500 0.000 0.500
Os4 0.000 0.500 0.500
Os5 0.500 0.500 0.500

Output
The total energy comes out at -51.33 eV/cell.

***

4.
A relaxed structure of H2Os, computed with PBE.

a = 3.981 Å, b = 3.981 Å, c = 2.863 Å
α = 90.00°, β = 90.00°, γ = 90.00°
Fractional positions:
H1 0.310 0.310 0.000
H2 0.690 0.690 0.000
H3 0.810 0.190 0.500
H4 0.190 0.810 0.500
Os1 0.000 0.000 0.000
Os2 0.500 0.500 0.500

Output
The total energy comes out at -32.18 eV/cell.